The following is a DFT calculation (PBE) of NdIn4I7 after structural relaxation.

POSCAR file:
```
NdIn4I7
1.0
5.729 0.000 -1.871
-1.472 7.061 -4.508
0.818 1.655 12.209
I In Nd
7 4 1
Cartesian
-0.561 6.006 -1.719
3.373 6.252 0.623
5.635 2.710 7.549
2.864 0.000 -0.935
0.336 2.928 1.029
1.701 2.464 5.208
4.738 5.788 4.801
2.378 4.764 7.282
0.966 7.317 2.958
2.696 3.952 -1.452
4.108 1.399 2.873
0.000 0.000 0.000
```

E_form (uncorrected): -69.6 kJ/mol of atoms
Size of the total moment: 0.00 μB per formula unit
Space group: C2/m, No. 12



The following is a DFT calculation (PBE) of InFe2Rh after structural relaxation.

POSCAR file:
```
InFe2Rh
1.0
-7.826 1.980 -2.367
-7.032 0.293 -4.608
-8.076 -0.917 -2.171
Fe Rh In
2 1 1
Cartesian
-5.930 0.351 -2.365
-22.862 1.352 -9.117
-17.054 1.008 -6.801
-11.490 0.679 -4.582
```

Energy relative to the elements: 0.19 eV/atom
Size of the total moment: 5.58 μB per formula unit
Space group: R3m, No. 160



The following is a DFT calculation (PBE) of K4ThS4 after structural relaxation.

POSCAR file:
```
K4ThS4
1.0
4.249 0.000 1.004
1.789 7.412 1.920
-0.042 0.068 9.668
S K Th
4 4 1
Cartesian
4.345 1.843 10.088
4.478 6.567 9.526
1.519 0.913 3.065
1.651 5.636 2.504
2.262 4.368 9.411
5.217 6.403 6.397
3.734 3.112 3.181
0.779 1.077 6.194
2.124 0.000 0.502
```

E_form (uncorrected): -140.3 kJ/mol of atoms
Size of the total moment: 0.00 μB per formula unit
Space group: C2/m, No. 12



The following is a DFT calculation (PBE) of SrCrCl4 after structural relaxation.

POSCAR file:
```
SrCrCl4
1.0
-2.933 -4.927 -1.892
-2.382 -3.825 4.019
-5.993 -0.373 0.629
Cl Sr Cr
4 1 1
Cartesian
-4.243 -3.423 1.034
-5.432 -5.333 3.041
-5.707 -5.883 0.090
-7.235 -3.610 1.348
0.000 0.000 0.000
-8.481 -6.844 2.067
```

E_form (uncorrected): -23.9 kJ/mol of atoms
Size of the total moment: 3.97 μB per formula unit
Offset from the most stable computed form: 829 kJ/mol of formula units
Space group: F-43m, No. 216



The following is a DFT calculation (PBE) of Zn2Fe2Pd after structural relaxation.

POSCAR file:
```
Zn2Fe2Pd
1.0
-5.885 -3.087 -2.049
3.685 -5.276 -2.636
-0.157 -1.350 2.484
Pd Fe Zn
2 4 4
Cartesian
-1.100 -4.181 -2.342
0.000 0.000 0.000
1.396 -4.712 -0.859
-1.420 -2.585 0.120
-0.937 -7.128 -2.320
-3.752 -5.001 -1.341
0.588 -2.351 -1.241
1.031 -5.723 -3.046
-2.788 -6.012 -3.444
-3.231 -2.640 -1.639
```

Energy relative to the elements: 0.11 eV/atom
Size of the total moment: 5.38 μB per formula unit
Offset from the most stable computed form: 13 kJ/mol of formula units
Space group: P4/mbm, No. 127



The following is a DFT calculation (PBE) of PrInPb after structural relaxation.

POSCAR file:
```
PrInPb
1.0
5.432 -0.494 0.000
-1.480 5.250 0.000
0.000 0.000 6.492
Pb Pr In
2 2 2
Cartesian
3.271 1.302 1.623
0.681 3.454 4.869
3.169 1.386 4.869
0.783 3.370 1.623
0.000 0.000 0.000
0.000 0.000 3.246
```

Energy relative to the elements: -0.38 eV/atom
Size of the total moment: 0.00 μB per formula unit
Offset from the most stable computed form: 4 kJ/mol of formula units
Space group: Cmcm, No. 63



The following is a DFT calculation (PBE) of H5Pt3Rh12 after structural relaxation.

POSCAR file:
```
H5Pt3Rh12
1.0
10.917 0.000 0.000
-3.639 10.292 0.000
-3.639 -5.146 8.913
Rh Pt H
48 12 20
Cartesian
4.708 5.145 1.679
-2.624 8.820 0.873
4.654 -1.081 5.295
3.546 2.050 5.297
-4.390 -0.001 7.234
1.462 3.580 6.136
6.262 -3.674 8.040
4.390 1.454 8.073
4.443 7.739 2.745
0.093 3.096 3.616
-1.462 -0.615 4.424
5.551 3.039 3.583
-0.804 -2.593 6.168
1.912 -2.050 5.297
-4.654 2.593 6.168
-1.015 6.227 3.618
4.443 1.472 0.873
5.551 9.303 0.033
-3.546 4.157 8.881
7.370 -2.107 5.330
8.028 5.147 1.679
3.282 -1.566 2.778
8.293 2.553 2.745
4.390 -1.455 8.075
0.357 6.712 6.136
-0.751 3.693 0.840
5.816 -0.951 1.712
3.996 4.196 7.202
-3.282 4.531 4.489
1.069 1.455 8.075
2.835 4.066 3.618
6.920 0.615 4.424
-0.804 3.674 8.040
-1.069 0.001 7.234
1.727 7.196 3.616
-0.751 6.601 0.839
2.570 3.691 0.839
1.069 -1.454 8.073
-0.357 0.951 1.712
5.101 5.761 4.489
2.177 1.566 2.778
-3.732 7.253 3.583
-1.912 -4.157 8.881
0.804 1.081 5.295
7.185 0.989 0.033
-2.177 6.097 7.202
2.570 6.600 0.840
-1.912 2.107 5.330
6.368 7.076 1.114
6.368 3.216 1.114
0.910 -0.643 3.342
-0.910 4.503 5.571
2.729 0.000 6.685
-2.729 1.930 7.799
-2.729 -1.930 7.799
8.187 0.000 2.228
4.549 0.643 3.342
0.910 5.146 2.228
-4.549 5.146 6.685
2.729 5.789 5.571
5.458 0.000 0.000
0.910 -2.573 6.685
3.639 -2.573 4.457
0.000 0.000 0.000
1.819 2.573 4.457
4.549 2.573 6.685
-1.819 5.146 0.000
6.368 -0.643 5.571
2.729 1.930 1.114
-2.729 5.789 3.342
2.729 7.719 2.228
-0.910 2.573 2.228
-1.819 -2.573 4.457
4.549 -3.216 7.799
3.639 5.146 0.000
0.910 3.216 7.799
-3.639 2.573 4.457
-0.910 0.643 5.571
4.549 4.503 3.342
-0.910 8.362 1.114
```

Size of the total moment: 0.00 μB per formula unit
Space group: Ia-3d, No. 230
Energy: -5.894 eV/atom



The following is a DFT calculation (PBE) of MnNbFe2Cu after structural relaxation.

POSCAR file:
```
MnNbFe2Cu
1.0
-4.116 0.234 -0.044
-0.206 -3.973 -1.796
-0.137 -1.691 3.757
Cu Fe Nb Mn
1 2 1 1
Cartesian
-0.103 -1.987 -0.898
-0.068 -0.846 1.879
-2.058 0.117 -0.022
-2.230 -2.715 0.958
0.000 0.000 0.000
```

Energy relative to the elements: 1.03 eV/atom
Size of the total moment: 2.41 μB per formula unit
Space group: P4/mmm, No. 123



Question: Which formula does entry 1 have?
Answer: NdIn4I7



Question: The highest size of the total moment belongs to which entry?
Answer: InFe2Rh



Question: Among the records above, which one has the highest size of the total moment?
Answer: InFe2Rh